# 1
# Zn3Si4Ag2O14 (GGA-PBEsol, optimized geometry)
data_Zn3Si4Ag2O14
_chemical_formula_sum 'Zn6 Si8 Ag4 O28'
_cell_length_a 9.677
_cell_length_b 9.677
_cell_length_c 10.107
_cell_angle_alpha 121.06
_cell_angle_beta 121.06
_cell_angle_gamma 47.56
_symmetry_space_group_name_H-M 'P 1'
_symmetry_Int_Tables_number 1
loop_
_symmetry_equiv_pos_as_xyz
'x,y,z'
loop_
_atom_site_label
_atom_site_fract_x
_atom_site_fract_y
_atom_site_fract_z
_atom_site_occupancy
Zn1 0.114 0.886 0.750 1
Zn2 0.266 0.453 0.644 1
Zn3 0.453 0.266 0.144 1
Zn4 0.547 0.734 0.856 1
Zn5 0.734 0.547 0.356 1
Zn6 0.886 0.114 0.250 1
Si1 0.018 0.223 0.113 1
Si2 0.084 0.547 0.310 1
Si3 0.223 0.018 0.613 1
Si4 0.453 0.916 0.190 1
Si5 0.547 0.084 0.810 1
Si6 0.777 0.982 0.387 1
Si7 0.916 0.453 0.690 1
Si8 0.982 0.777 0.887 1
Ag1 0.259 0.741 0.250 1
Ag2 0.500 0.500 0.000 1
Ag3 0.500 0.500 0.500 1
Ag4 0.741 0.259 0.750 1
O1 0.012 0.413 0.150 1
O2 0.016 0.874 0.082 1
O3 0.064 0.230 0.706 1
O4 0.082 0.552 0.469 1
O5 0.126 0.984 0.418 1
O6 0.147 0.708 0.818 1
O7 0.230 0.064 0.206 1
O8 0.292 0.853 0.682 1
O9 0.300 0.454 0.300 1
O10 0.372 0.494 0.094 1
O11 0.413 0.012 0.650 1
O12 0.448 0.918 0.031 1
O13 0.454 0.300 0.800 1
O14 0.494 0.372 0.594 1
O15 0.506 0.628 0.406 1
O16 0.546 0.700 0.200 1
O17 0.552 0.082 0.969 1
O18 0.587 0.988 0.350 1
O19 0.628 0.506 0.906 1
O20 0.700 0.546 0.700 1
O21 0.708 0.147 0.318 1
O22 0.770 0.936 0.794 1
O23 0.853 0.292 0.182 1
O24 0.874 0.016 0.582 1
O25 0.918 0.448 0.531 1
O26 0.936 0.770 0.294 1
O27 0.984 0.126 0.918 1
O28 0.988 0.587 0.850 1
# Symmetry = No. 15
# Final energy = -6.46 eV per atom


# 2
# SmAgW2O8 (GGA-PBEsol, optimized geometry)
data_SmAgW2O8
_chemical_formula_sum 'Sm2 Ag2 W4 O16'
_cell_length_a 7.387
_cell_length_b 7.387
_cell_length_c 7.231
_cell_angle_alpha 114.59
_cell_angle_beta 114.59
_cell_angle_gamma 94.44
_symmetry_space_group_name_H-M 'P 1'
_symmetry_Int_Tables_number 1
loop_
_symmetry_equiv_pos_as_xyz
'x,y,z'
loop_
_atom_site_label
_atom_site_fract_x
_atom_site_fract_y
_atom_site_fract_z
_atom_site_occupancy
Sm1 0.194 0.806 0.000 1
Sm2 0.806 0.194 0.000 1
Ag1 0.191 0.191 0.518 1
Ag2 0.809 0.809 0.482 1
W1 0.289 0.289 0.024 1
W2 0.337 0.663 0.500 1
W3 0.663 0.337 0.500 1
W4 0.711 0.711 0.976 1
O1 0.056 0.056 0.857 1
O2 0.153 0.398 0.241 1
O3 0.185 0.712 0.643 1
O4 0.198 0.455 0.906 1
O5 0.288 0.815 0.357 1
O6 0.398 0.153 0.241 1
O7 0.455 0.198 0.906 1
O8 0.478 0.478 0.662 1
O9 0.522 0.522 0.338 1
O10 0.545 0.802 0.094 1
O11 0.602 0.847 0.759 1
O12 0.712 0.185 0.643 1
O13 0.802 0.545 0.094 1
O14 0.815 0.288 0.357 1
O15 0.847 0.602 0.759 1
O16 0.944 0.944 0.143 1
# Symmetry = No. 12
# Final energy = -8.73 eV per atom


no.,formation energy without anion corrections (eV per atom)
1,-1.768
2,-2.228